A PBEsol-optimized structure of Y2MnCr, computed with SCAN.

Summary:
As for the distance to the lowest polymorph of the same formula: 0.004 eV/atom.

Cell: 3.4055 4.9624 4.9624 Å, 90.00 90.00 90.00°
With the nearest neighbours (Å) after each atom.
Positions (direct):
Cr 0.5000 0.5000 0.5000  8 Y 3.01
Y 0.0000 0.5000 0.0000  4 Cr 3.01, 4 Mn 3.01
Y 0.0000 0.0000 0.5000  4 Cr 3.01, 4 Mn 3.01
Mn 0.5000 0.0000 0.0000  8 Y 3.01

***

A PBEsol-optimized structure of YMn2Cr2, computed with SCAN.

Cell: 3.9588 3.9588 5.3894 Å, 111.55 111.55 90.00°
With the nearest neighbours (Å) after each atom.
Positions (direct):
Cr 0.6307 0.6307 0.2614  4 Mn 2.26, 1 Cr 2.41
Cr 0.3693 0.3693 0.7386  4 Mn 2.26, 1 Cr 2.41
Y 0.0000 0.0000 0.0000  8 Mn 3.04, 8 Cr 3.05
Mn 0.2500 0.7500 0.5000  4 Cr 2.26
Mn 0.7500 0.2500 0.5000  4 Cr 2.26

***

A PBEsol-optimized structure of YMnCr2, computed with SCAN.

Summary:
As for the distance to the lowest polymorph of the same formula: 0.000 eV/atom.

Cell: 3.0564 3.0564 6.5538 Å, 90.00 90.00 90.00°
With the nearest neighbours (Å) after each atom.
Positions (direct):
Y 0.5000 0.5000 0.5000  4 Y 3.06, 8 Cr 3.11, 2 Mn 3.28
Cr 0.0000 0.0000 0.8407  1 Cr 2.09
Cr 0.0000 0.0000 0.1593  1 Cr 2.09
Mn 0.5000 0.5000 0.0000  8 Cr 2.40

***

A PBEsol-optimized structure of YMnCr2, computed with SCAN.

Summary:
As for the distance to the lowest polymorph of the same formula: 0.056 eV/atom.

Cell: 2.8954 3.3910 6.3281 Å, 90.00 98.32 90.00°
With the nearest neighbours (Å) after each atom.
Positions (direct):
Mn 0.5000 0.5000 0.0000  4 Cr 2.26
Cr 0.9338 0.0000 0.1594  1 Cr 2.11, 2 Mn 2.26
Cr 0.0662 0.0000 0.8406  1 Cr 2.11, 2 Mn 2.26
Y 0.5000 0.5000 0.5000  2 Y 2.90, 8 Cr 3.03-3.14, 2 Mn 3.16

***

Short version: final energy = -23.05, -19.98, -20.26, -20.20 eV per atom, in the order given.
Short version: formation energy = 0.0347, 0.2470, 0.4613, 0.5171 eV/atom, in the order given.